# Ti2Pd3

A crystal of Ti2Pd3 relaxed with PBEsol (meta-GGA SCAN, Alexandria).

a = 7.4177 Å, b = 7.4177 Å, c = 4.5523 Å
α = 90.00°, β = 90.00°, γ = 36.81°
Atoms (fractional coordinates):
Ti: 0.1161 0.6685 0.7500
Ti: 0.3315 0.8839 0.7500
Ti: 0.6685 0.1161 0.2500
Ti: 0.8839 0.3315 0.2500
Pd: 0.0955 0.5133 0.2500
Pd: 0.3003 0.6997 0.2500
Pd: 0.4867 0.9045 0.2500
Pd: 0.5133 0.0955 0.7500
Pd: 0.6997 0.3003 0.7500
Pd: 0.9045 0.4867 0.7500

Spin magnetization: 0.00 μB/atom
ΔE_f: -693 meV/atom


# MnSeNF2

A crystal of MnSeNF2 relaxed with PBEsol (meta-GGA SCAN, Alexandria).

a = 3.7765 Å, b = 3.7765 Å, c = 4.1739 Å
α = 90.00°, β = 90.00°, γ = 90.00°
Atoms (fractional coordinates):
Mn: 0.0000 0.0000 0.0000
Se: 0.5000 0.5000 0.5000
N: 0.0000 0.0000 0.5000
F: 0.0000 0.5000 0.0000
F: 0.5000 0.0000 0.0000

Formation energy without anion corrections: -0.6892 eV per atom
Spin magnetization: 0.91 μB/atom


# Zr5Ru3

A crystal of Zr5Ru3 relaxed with PBEsol (meta-GGA SCAN, Alexandria).

a = 7.7906 Å, b = 7.7906 Å, c = 5.6392 Å
α = 90.00°, β = 90.00°, γ = 120.00°
Atoms (fractional coordinates):
Zr: 0.0000 0.2377 0.2500
Zr: 0.0000 0.7623 0.7500
Zr: 0.2377 0.0000 0.2500
Zr: 0.2377 0.2377 0.7500
Zr: 0.3333 0.6667 0.0000
Zr: 0.3333 0.6667 0.5000
Zr: 0.6667 0.3333 0.0000
Zr: 0.6667 0.3333 0.5000
Zr: 0.7623 0.0000 0.7500
Zr: 0.7623 0.7623 0.2500
Ru: 0.0000 0.4013 0.7500
Ru: 0.0000 0.5987 0.2500
Ru: 0.4013 0.0000 0.7500
Ru: 0.4013 0.4013 0.2500
Ru: 0.5987 0.0000 0.2500
Ru: 0.5987 0.5987 0.7500

Spin magnetization: 0.00 μB/atom
ΔE_f: -521 meV/atom


# AlNi2Au

A crystal of AlNi2Au relaxed with PBEsol (meta-GGA SCAN, Alexandria).

a = 2.9053 Å, b = 2.9053 Å, c = 5.9865 Å
α = 90.00°, β = 90.00°, γ = 90.00°
Atoms (fractional coordinates):
Al: 0.0000 0.0000 0.0000
Ni: 0.5000 0.5000 0.2210
Ni: 0.5000 0.5000 0.7790
Au: 0.0000 0.0000 0.5000

Spin magnetization: 0.00 μB/atom
ΔE_f: -380 meV/atom